Below is a geometry-optimized CsAl3Pt structure, with properties calculated at the PBE-GGA level.

abc: 5.732 5.732 5.732
angles: 90.00 90.00 90.00
Space group Pm-3m (No. 221)
Inequivalent atoms, fractional coordinates:
Cs (0.000, 0.000, 0.000)
Al (0.000, 0.000, 0.500)
Pt (0.500, 0.500, 0.500)

Computed properties:
Relative energy among the computed polymorphs, eV per formula unit: 11.376

Below is a geometry-optimized PuGeAu3 structure, with properties calculated at the PBE-GGA level.

abc: 5.674 5.977 6.134
angles: 90.00 96.74 90.00
Space group P2_1/m (No. 11)
Inequivalent atoms, fractional coordinates:
Pu (0.169, 0.250, 0.181)
Ge (0.081, 0.750, 0.344)
Au (0.316, 0.001, 0.650)
Au (0.363, 0.750, 0.048)

Computed properties:
Relative energy among the computed polymorphs, eV per formula unit: 0.000

Below is a geometry-optimized YTlPb structure, with properties calculated at the PBE-GGA level.

abc: 4.624 16.503 4.473
angles: 90.00 90.00 90.00
Space group Cmcm (No. 63)
Inequivalent atoms, fractional coordinates:
Y (0.000, 0.091, 0.250)
Tl (0.000, 0.255, 0.750)
Pb (0.000, 0.427, 0.250)

Computed properties:
Relative energy among the computed polymorphs, eV per formula unit: 0.000

Below is a geometry-optimized PuTl2ReO6 structure, with properties calculated at the PBE-GGA level.

abc: 12.280 5.957 5.356
angles: 90.00 108.73 90.00
Space group C2/m (No. 12)
Inequivalent atoms, fractional coordinates:
Pu (0.000, 0.000, 0.000)
Tl (0.221, 0.500, 0.222)
Re (0.000, 0.500, 0.500)
O (0.051, 0.281, 0.756)
O (0.151, 0.000, 0.227)

Computed properties:
Raw formation energy, meV/atom: -1653

Below is a geometry-optimized Tb3Pr2SmEr6 structure, with properties calculated at the PBE-GGA level.

abc: 6.186 10.708 11.743
angles: 90.00 100.07 90.00
Space group C2/m (No. 12)
Inequivalent atoms, fractional coordinates:
Tb (0.000, 0.000, 0.000)
Tb (0.000, 0.333, 0.000)
Pr (0.000, 0.167, 0.500)
Sm (0.000, 0.500, 0.500)
Er (0.248, 0.500, 0.247)
Er (0.249, 0.166, 0.247)

Computed properties:
Total DFT energy (no corrections), eV per formula unit: -55.3

Below is a geometry-optimized BaRhSe2O6 structure, with properties calculated at the PBE-GGA level.

abc: 5.6448 5.6448 17.5764
angles: 90.00 90.00 120.00
Space group R-3 (No. 148, hexagonal axes)
Inequivalent atoms, fractional coordinates:
Ba (0.0000, 0.0000, 0.0000)
Rh (0.0000, 0.0000, 0.5000)
Se (0.0000, 0.0000, 0.2476)
O (0.0220, 0.3978, 0.0987)

Computed properties:
Raw formation energy, meV/atom: -932